# 1
An optimized crystal structure of Nd4GeAsS2, computed with PBE-GGA.

Cell lengths 8.3864, 8.3864, 8.3865 Å; angles 120.00, 120.00, 90.01 degrees
Positions (direct):
Nd 0.2489 0.2511 0.9994
Ge 0.0000 0.5000 0.5000
Nd 0.2489 0.2511 0.5006
As 0.0000 0.0000 0.0000
Nd 0.7511 0.7489 0.4994
Nd 0.7495 0.2510 0.0002
Nd 0.2490 0.7505 0.4998
S 0.0000 0.0000 0.5000
As 0.5000 0.5000 0.5000
S 0.5000 0.0000 0.0000
Nd 0.7510 0.2495 0.5002
S 0.5000 0.5000 0.0000
Nd 0.2505 0.7490 0.9998
S 0.5000 0.0000 0.5000
Nd 0.7511 0.7489 0.0006
Ge 0.0000 0.5000 0.0000

---

# 2
An optimized crystal structure of Nd6GeAs2S3, computed with PBE-GGA.

Cell lengths 4.2020, 8.3535, 9.3570 Å; angles 102.54, 102.98, 90.00 degrees
Positions (direct):
As 0.1672 0.3341 0.3343
Nd 0.3337 0.4164 0.6675
Nd 0.3342 0.9188 0.6684
S 0.5000 0.5000 0.0000
Nd 0.6663 0.5836 0.3325
Nd 0.9994 0.2489 0.9987
S 0.8326 0.1676 0.6652
Nd 0.6658 0.0812 0.3316
Ge 0.5000 0.0000 0.0000
As 0.8328 0.6659 0.6657
S 0.1674 0.8324 0.3348
Nd 0.0006 0.7511 0.0013

---

# 3
An optimized crystal structure of Nd6Ge2AsS3, computed with PBE-GGA.

Cell lengths 4.2072, 8.3811, 9.3707 Å; angles 102.50, 102.97, 90.00 degrees
Positions (direct):
Nd 0.6672 0.0843 0.3343
S 0.1658 0.8339 0.3317
Nd 0.3337 0.4162 0.6673
S 0.8342 0.1661 0.6683
As 0.5000 0.0000 0.0000
Nd 0.9991 0.7488 0.9982
S 0.5000 0.5000 0.0000
Nd 0.0009 0.2512 0.0018
Ge 0.1664 0.3328 0.3329
Nd 0.3328 0.9157 0.6657
Ge 0.8336 0.6672 0.6671
Nd 0.6663 0.5838 0.3327

---

| no. | formation energy from raw total energies (eV per atom) |
| --- | --- |
| 1 | -1.639 |
| 2 | -1.690 |
| 3 | -1.575 |